1.
4
Lattice="0.000 3.562 3.562 3.562 0.000 3.562 3.562 3.562 0.000" Properties=species:S:1:pos:R:3 comment="PmMgCdSi, relaxed, DFT PBE-GGA" e_tot_ev_per_atom=-3.3720 e_form_raw_ev_per_atom=-0.20 mass_density_g_cm3=5.692 space_group="F-43m, No. 216" pbc="T T T"
Pm 0.000 0.000 0.000
Mg 3.562 3.562 3.562
Cd 5.343 5.343 5.343
Si 1.781 1.781 1.781

---

2.
4
Lattice="3.875 0.000 0.000 0.000 5.389 0.000 0.000 0.000 5.396" Properties=species:S:1:pos:R:3 comment="PmSmMgCd, relaxed, DFT PBE-GGA" e_tot_ev_per_atom=-3.2082 relative_energy_mev_per_atom=0.0 mass_density_g_cm3=6.368 space_group="Pmmm, No. 47" ef_mev_per_atom=-213 pbc="T T T"
Pm 0.000 0.000 0.000
Sm 0.000 2.694 2.698
Mg 1.937 2.694 0.000
Cd 1.937 0.000 2.698

---

3.
4
Lattice="0.000 3.835 3.835 3.835 0.000 3.835 3.835 3.835 0.000" Properties=species:S:1:pos:R:3 comment="PmSmMgCd, relaxed, DFT PBE-GGA" e_tot_ev_per_atom=-3.2036 relative_energy_mev_per_atom=4.6 mass_density_g_cm3=6.362 space_group="F-43m, No. 216" ef_mev_per_atom=-209 pbc="T T T"
Pm 0.000 0.000 0.000
Sm 3.835 3.835 3.835
Mg 1.917 1.917 1.917
Cd 5.752 5.752 5.752

---

4.
12
Lattice="4.504 0.000 0.000 0.000 8.987 0.000 0.000 0.000 7.604" Properties=species:S:1:pos:R:3 comment="PmMg2CdSn2, relaxed, DFT PBE-GGA" e_tot_ev_per_atom=-3.1471 mass_density_g_cm3=5.864 space_group="Pmc2_1, No. 26" ef_mev_per_atom=-337 pbc="T T T"
Pm 0.000 0.643 0.000
Pm 0.000 8.344 3.802
Mg 0.000 2.839 3.120
Mg 0.000 6.148 6.922
Mg 2.252 3.805 0.659
Mg 2.252 5.182 4.461
Cd 2.252 1.736 5.177
Cd 2.252 7.251 1.375
Sn 0.000 3.413 6.080
Sn 0.000 5.574 2.278
Sn 2.252 1.185 2.224
Sn 2.252 7.802 6.026

---

5.
4
Lattice="4.478 0.000 0.000 0.000 4.607 0.000 0.000 0.000 4.869" Properties=species:S:1:pos:R:3 comment="PmMgCdSn, relaxed, DFT PBE-GGA" e_tot_ev_per_atom=-3.2801 relative_energy_mev_per_atom=0.0 mass_density_g_cm3=6.619 space_group="Pmmm, No. 47" ef_mev_per_atom=-464 pbc="T T T"
Pm 0.000 0.000 0.000
Mg 0.000 2.303 2.435
Cd 2.239 0.000 2.435
Sn 2.239 2.303 0.000

---

6.
4
Lattice="0.000 3.704 3.704 3.704 0.000 3.704 3.704 3.704 0.000" Properties=species:S:1:pos:R:3 comment="PmMgCdSn, relaxed, DFT PBE-GGA" e_tot_ev_per_atom=-3.1443 relative_energy_mev_per_atom=135.7 mass_density_g_cm3=6.543 space_group="F-43m, No. 216" ef_mev_per_atom=-329 pbc="T T T"
Pm 0.000 0.000 0.000
Mg 3.704 3.704 3.704
Cd 1.852 1.852 1.852
Sn 5.556 5.556 5.556